1.
# ZrAlTeN2 (PBEsol, optimized geometry)
# Uncorrected energy = -6.35 eV/atom
data_ZrAlTeN2
_space_group_name_H-M_alt 'P 1'
_space_group_IT_number 1
_space_group_name_Hall 'P 1'
_cell_length_a 3.898
_cell_length_b 3.898
_cell_length_c 5.228
_cell_angle_alpha 90.00
_cell_angle_beta 90.00
_cell_angle_gamma 90.00
loop_
_atom_site_label
_atom_site_type_symbol
_atom_site_fract_x
_atom_site_fract_y
_atom_site_fract_z
_atom_site_occupancy
Te1 Te 0.000 0.000 0.500 1
Al1 Al 0.000 0.000 0.000 1
N1 N 0.000 0.500 0.000 1
N2 N 0.500 0.000 0.000 1
Zr1 Zr 0.500 0.500 0.500 1

=====

2.
# Ti3AlN (PBEsol, optimized geometry)
# Uncorrected energy = -8.55 eV/atom
data_Ti3AlN
_space_group_name_H-M_alt 'P 1'
_space_group_IT_number 1
_space_group_name_Hall 'P 1'
_cell_length_a 4.089
_cell_length_b 4.089
_cell_length_c 4.089
_cell_angle_alpha 90.00
_cell_angle_beta 90.00
_cell_angle_gamma 90.00
loop_
_atom_site_label
_atom_site_type_symbol
_atom_site_fract_x
_atom_site_fract_y
_atom_site_fract_z
_atom_site_occupancy
Ti1 Ti 0.000 0.500 0.000 1
Ti2 Ti 0.500 0.000 0.000 1
Ti3 Ti 0.000 0.000 0.500 1
Al1 Al 0.500 0.500 0.500 1
N1 N 0.000 0.000 0.000 1

=====

3.
# Ti2AlN (PBEsol, optimized geometry)
# Uncorrected energy = -8.60 eV/atom
data_Ti2AlN
_space_group_name_H-M_alt 'P 1'
_space_group_IT_number 1
_space_group_name_Hall 'P 1'
_cell_length_a 2.965
_cell_length_b 2.965
_cell_length_c 13.560
_cell_angle_alpha 90.00
_cell_angle_beta 90.00
_cell_angle_gamma 120.00
loop_
_atom_site_label
_atom_site_type_symbol
_atom_site_fract_x
_atom_site_fract_y
_atom_site_fract_z
_atom_site_occupancy
Ti1 Ti 0.667 0.333 0.585 1
Ti2 Ti 0.333 0.667 0.415 1
Ti3 Ti 0.333 0.667 0.085 1
Ti4 Ti 0.667 0.333 0.915 1
N1 N 0.000 0.000 0.000 1
N2 N 0.000 0.000 0.500 1
Al1 Al 0.667 0.333 0.250 1
Al2 Al 0.333 0.667 0.750 1

=====

4.
# TiAlN2 (PBEsol, optimized geometry)
# Uncorrected energy = -7.88 eV/atom
data_TiAlN2
_space_group_name_H-M_alt 'P 1'
_space_group_IT_number 1
_space_group_name_Hall 'P 1'
_cell_length_a 3.056
_cell_length_b 3.056
_cell_length_c 5.918
_cell_angle_alpha 75.04
_cell_angle_beta 75.04
_cell_angle_gamma 60.00
loop_
_atom_site_label
_atom_site_type_symbol
_atom_site_fract_x
_atom_site_fract_y
_atom_site_fract_z
_atom_site_occupancy
N1 N 0.890 0.890 0.329 1
N2 N 0.110 0.110 0.671 1
Ti1 Ti 0.000 0.000 0.000 1
Al1 Al 0.500 0.500 0.500 1

=====

5.
# AlTlN2 (PBEsol, optimized geometry)
# ΔE to the lowest computed polymorph = 1124 meV/atom
data_AlTlN2
_space_group_name_H-M_alt 'P 1'
_space_group_IT_number 1
_space_group_name_Hall 'P 1'
_cell_length_a 4.046
_cell_length_b 4.046
_cell_length_c 4.046
_cell_angle_alpha 60.00
_cell_angle_beta 60.00
_cell_angle_gamma 60.00
loop_
_atom_site_label
_atom_site_type_symbol
_atom_site_fract_x
_atom_site_fract_y
_atom_site_fract_z
_atom_site_occupancy
N1 N 0.250 0.250 0.250 1
N2 N 0.750 0.750 0.750 1
Tl1 Tl 0.500 0.500 0.500 1
Al1 Al 0.000 0.000 0.000 1

=====

6.
# AlTl2N (PBEsol, optimized geometry)
# Uncorrected energy = -3.78 eV/atom
data_AlTl2N
_space_group_name_H-M_alt 'P 1'
_space_group_IT_number 1
_space_group_name_Hall 'P 1'
_cell_length_a 7.116
_cell_length_b 5.898
_cell_length_c 7.116
_cell_angle_alpha 52.90
_cell_angle_beta 90.00
_cell_angle_gamma 127.10
loop_
_atom_site_label
_atom_site_type_symbol
_atom_site_fract_x
_atom_site_fract_y
_atom_site_fract_z
_atom_site_occupancy
Tl1 Tl 0.564 0.750 0.375 1
Tl2 Tl 0.875 0.250 0.564 1
Tl3 Tl 0.186 0.750 0.875 1
Tl4 Tl 0.375 0.250 0.186 1
Al1 Al 0.750 0.500 0.750 1
Al2 Al 0.000 0.000 0.000 1
N1 N 0.500 0.000 0.500 1
N2 N 0.250 0.500 0.250 1

=====

7.
# AlTlN2 (PBEsol, optimized geometry)
# ΔE to the lowest computed polymorph = 0 meV/atom
data_AlTlN2
_space_group_name_H-M_alt 'P 1'
_space_group_IT_number 1
_space_group_name_Hall 'P 1'
_cell_length_a 3.145
_cell_length_b 3.145
_cell_length_c 6.258
_cell_angle_alpha 75.45
_cell_angle_beta 75.45
_cell_angle_gamma 60.00
loop_
_atom_site_label
_atom_site_type_symbol
_atom_site_fract_x
_atom_site_fract_y
_atom_site_fract_z
_atom_site_occupancy
Tl1 Tl 0.000 0.000 0.000 1
N1 N 0.114 0.114 0.659 1
N2 N 0.886 0.886 0.341 1
Al1 Al 0.500 0.500 0.500 1

=====

8.
# Al2TlN (PBEsol, optimized geometry)
# Uncorrected energy = -3.78 eV/atom
data_Al2TlN
_space_group_name_H-M_alt 'P 1'
_space_group_IT_number 1
_space_group_name_Hall 'P 1'
_cell_length_a 4.525
_cell_length_b 4.525
_cell_length_c 4.525
_cell_angle_alpha 60.00
_cell_angle_beta 60.00
_cell_angle_gamma 60.00
loop_
_atom_site_label
_atom_site_type_symbol
_atom_site_fract_x
_atom_site_fract_y
_atom_site_fract_z
_atom_site_occupancy
Al1 Al 0.250 0.250 0.250 1
Al2 Al 0.750 0.750 0.750 1
N1 N 0.000 0.000 0.000 1
Tl1 Tl 0.500 0.500 0.500 1

=====

9.
# AlTlW2N (PBEsol, optimized geometry)
# Uncorrected energy = -6.87 eV/atom
data_AlTlW2N
_space_group_name_H-M_alt 'P 1'
_space_group_IT_number 1
_space_group_name_Hall 'P 1'
_cell_length_a 3.484
_cell_length_b 4.864
_cell_length_c 4.864
_cell_angle_alpha 90.00
_cell_angle_beta 90.00
_cell_angle_gamma 90.00
loop_
_atom_site_label
_atom_site_type_symbol
_atom_site_fract_x
_atom_site_fract_y
_atom_site_fract_z
_atom_site_occupancy
Tl1 Tl 0.500 0.500 0.500 1
W1 W 0.000 0.500 0.000 1
W2 W 0.000 0.000 0.500 1
N1 N 0.500 0.000 0.000 1
Al1 Al 0.000 0.000 0.000 1

=====

10.
# YAl2N3 (PBEsol, optimized geometry)
# Uncorrected energy = -8.30 eV/atom
data_YAl2N3
_space_group_name_H-M_alt 'P 1'
_space_group_IT_number 1
_space_group_name_Hall 'P 1'
_cell_length_a 5.100
_cell_length_b 5.742
_cell_length_c 5.821
_cell_angle_alpha 119.55
_cell_angle_beta 90.00
_cell_angle_gamma 90.00
loop_
_atom_site_label
_atom_site_type_symbol
_atom_site_fract_x
_atom_site_fract_y
_atom_site_fract_z
_atom_site_occupancy
N1 N 0.856 0.331 0.386 1
N2 N 0.356 0.054 0.386 1
N3 N 0.856 0.946 0.614 1
N4 N 0.356 0.669 0.614 1
N5 N 0.433 0.292 0.000 1
N6 N 0.933 0.708 0.000 1
Al1 Al 0.489 0.341 0.350 1
Al2 Al 0.989 0.009 0.350 1
Al3 Al 0.489 0.991 0.650 1
Al4 Al 0.989 0.659 0.650 1
Y1 Y 0.464 0.692 0.000 1
Y2 Y 0.964 0.308 0.000 1

=====

11.
# AlZn2N (PBEsol, optimized geometry)
# Uncorrected energy = -3.67 eV/atom
data_AlZn2N
_space_group_name_H-M_alt 'P 1'
_space_group_IT_number 1
_space_group_name_Hall 'P 1'
_cell_length_a 5.649
_cell_length_b 5.609
_cell_length_c 5.649
_cell_angle_alpha 59.76
_cell_angle_beta 90.00
_cell_angle_gamma 120.24
loop_
_atom_site_label
_atom_site_type_symbol
_atom_site_fract_x
_atom_site_fract_y
_atom_site_fract_z
_atom_site_occupancy
Al1 Al 0.750 0.500 0.750 1
Al2 Al 0.000 0.000 0.000 1
Zn1 Zn 0.523 0.750 0.375 1
Zn2 Zn 0.375 0.250 0.227 1
Zn3 Zn 0.227 0.750 0.875 1
Zn4 Zn 0.875 0.250 0.523 1
N1 N 0.500 0.000 0.500 1
N2 N 0.250 0.500 0.250 1

=====

12.
# Zr5Al3N (PBEsol, optimized geometry)
# Uncorrected energy = -8.13 eV/atom
data_Zr5Al3N
_space_group_name_H-M_alt 'P 1'
_space_group_IT_number 1
_space_group_name_Hall 'P 1'
_cell_length_a 5.562
_cell_length_b 8.180
_cell_length_c 8.180
_cell_angle_alpha 120.00
_cell_angle_beta 90.00
_cell_angle_gamma 90.00
loop_
_atom_site_label
_atom_site_type_symbol
_atom_site_fract_x
_atom_site_fract_y
_atom_site_fract_z
_atom_site_occupancy
Al1 Al 0.750 0.403 0.403 1
Al2 Al 0.250 0.000 0.403 1
Al3 Al 0.750 0.597 0.000 1
Al4 Al 0.250 0.597 0.597 1
Al5 Al 0.250 0.403 0.000 1
Al6 Al 0.750 0.000 0.597 1
Zr1 Zr 0.750 0.000 0.223 1
Zr2 Zr 0.250 0.000 0.777 1
Zr3 Zr 0.250 0.223 0.223 1
Zr4 Zr 0.250 0.777 0.000 1
Zr5 Zr 0.750 0.777 0.777 1
Zr6 Zr 0.500 0.667 0.333 1
Zr7 Zr 0.750 0.223 0.000 1
Zr8 Zr 0.000 0.333 0.667 1
Zr9 Zr 0.500 0.333 0.667 1
Zr10 Zr 0.000 0.667 0.333 1
N1 N 0.000 0.000 0.000 1
N2 N 0.500 0.000 0.000 1

=====

13.
# ZrAlN3 (PBEsol, optimized geometry)
# Uncorrected energy = -8.10 eV/atom
data_ZrAlN3
_space_group_name_H-M_alt 'P 1'
_space_group_IT_number 1
_space_group_name_Hall 'P 1'
_cell_length_a 3.683
_cell_length_b 3.683
_cell_length_c 3.683
_cell_angle_alpha 90.00
_cell_angle_beta 90.00
_cell_angle_gamma 90.00
loop_
_atom_site_label
_atom_site_type_symbol
_atom_site_fract_x
_atom_site_fract_y
_atom_site_fract_z
_atom_site_occupancy
Zr1 Zr 0.500 0.500 0.500 1
N1 N 0.500 0.000 0.000 1
N2 N 0.000 0.500 0.000 1
N3 N 0.000 0.000 0.500 1
Al1 Al 0.000 0.000 0.000 1

=====

14.
# ZrAl3N (PBEsol, optimized geometry)
# Uncorrected energy = -6.09 eV/atom
data_ZrAl3N
_space_group_name_H-M_alt 'P 1'
_space_group_IT_number 1
_space_group_name_Hall 'P 1'
_cell_length_a 4.169
_cell_length_b 4.169
_cell_length_c 4.169
_cell_angle_alpha 90.00
_cell_angle_beta 90.00
_cell_angle_gamma 90.00
loop_
_atom_site_label
_atom_site_type_symbol
_atom_site_fract_x
_atom_site_fract_y
_atom_site_fract_z
_atom_site_occupancy
Al1 Al 0.000 0.000 0.500 1
Al2 Al 0.000 0.500 0.000 1
Al3 Al 0.500 0.000 0.000 1
Zr1 Zr 0.500 0.500 0.500 1
N1 N 0.000 0.000 0.000 1

=====

15.
# ZrAlN2 (PBEsol, optimized geometry)
# Uncorrected energy = -8.82 eV/atom
data_ZrAlN2
_space_group_name_H-M_alt 'P 1'
_space_group_IT_number 1
_space_group_name_Hall 'P 1'
_cell_length_a 4.731
_cell_length_b 4.731
_cell_length_c 5.635
_cell_angle_alpha 114.82
_cell_angle_beta 114.82
_cell_angle_gamma 90.00
loop_
_atom_site_label
_atom_site_type_symbol
_atom_site_fract_x
_atom_site_fract_y
_atom_site_fract_z
_atom_site_occupancy
Zr1 Zr 0.250 0.750 0.500 1
Zr2 Zr 0.000 0.000 0.000 1
N1 N 0.625 0.587 0.750 1
N2 N 0.125 0.163 0.750 1
N3 N 0.837 0.375 0.250 1
N4 N 0.413 0.875 0.250 1
Al1 Al 0.500 0.500 0.000 1
Al2 Al 0.750 0.250 0.500 1

=====

16.
# NaNbAl2 (PBEsol, optimized geometry)
# Uncorrected energy = -4.46 eV/atom
data_NaNbAl2
_space_group_name_H-M_alt 'P 1'
_space_group_IT_number 1
_space_group_name_Hall 'P 1'
_cell_length_a 5.885
_cell_length_b 5.885
_cell_length_c 5.885
_cell_angle_alpha 104.47
_cell_angle_beta 104.47
_cell_angle_gamma 120.02
loop_
_atom_site_label
_atom_site_type_symbol
_atom_site_fract_x
_atom_site_fract_y
_atom_site_fract_z
_atom_site_occupancy
Al1 Al 0.375 0.375 0.500 1
Al2 Al 0.125 0.625 0.000 1
Al3 Al 0.875 0.875 0.500 1
Al4 Al 0.625 0.125 0.000 1
Nb1 Nb 0.250 0.750 0.500 1
Nb2 Nb 0.000 0.000 0.000 1
Na1 Na 0.500 0.500 0.000 1
Na2 Na 0.750 0.250 0.500 1

=====

17.
# Na2AlNi2 (PBEsol, optimized geometry)
# Uncorrected energy = -3.30 eV/atom
data_Na2AlNi2
_space_group_name_H-M_alt 'P 1'
_space_group_IT_number 1
_space_group_name_Hall 'P 1'
_cell_length_a 3.432
_cell_length_b 3.432
_cell_length_c 7.115
_cell_angle_alpha 103.96
_cell_angle_beta 103.96
_cell_angle_gamma 90.00
loop_
_atom_site_label
_atom_site_type_symbol
_atom_site_fract_x
_atom_site_fract_y
_atom_site_fract_z
_atom_site_occupancy
Al1 Al 0.000 0.000 0.000 1
Na1 Na 0.750 0.250 0.500 1
Na2 Na 0.250 0.750 0.500 1
Ni1 Ni 0.583 0.583 0.166 1
Ni2 Ni 0.417 0.417 0.834 1

=====

18.
# Na2AlSiNi (PBEsol, optimized geometry)
# Uncorrected energy = -2.86 eV/atom
data_Na2AlSiNi
_space_group_name_H-M_alt 'P 1'
_space_group_IT_number 1
_space_group_name_Hall 'P 1'
_cell_length_a 4.304
_cell_length_b 5.306
_cell_length_c 5.306
_cell_angle_alpha 90.00
_cell_angle_beta 90.00
_cell_angle_gamma 90.00
loop_
_atom_site_label
_atom_site_type_symbol
_atom_site_fract_x
_atom_site_fract_y
_atom_site_fract_z
_atom_site_occupancy
Na1 Na 0.000 0.000 0.500 1
Na2 Na 0.000 0.500 0.000 1
Al1 Al 0.000 0.000 0.000 1
Ni1 Ni 0.500 0.000 0.000 1
Si1 Si 0.500 0.500 0.500 1

=====

19.
# NaAl11O17 (PBEsol, optimized geometry)
# ΔE to the lowest computed polymorph = 0 meV/atom
data_NaAl11O17
_space_group_name_H-M_alt 'P 1'
_space_group_IT_number 1
_space_group_name_Hall 'P 1'
_cell_length_a 5.613
_cell_length_b 5.613
_cell_length_c 22.859
_cell_angle_alpha 82.98
_cell_angle_beta 82.98
_cell_angle_gamma 60.00
loop_
_atom_site_label
_atom_site_type_symbol
_atom_site_fract_x
_atom_site_fract_y
_atom_site_fract_z
_atom_site_occupancy
O1 O 0.752 0.752 0.750 1
O2 O 0.148 0.148 0.555 1
O3 O 0.951 0.951 0.144 1
O4 O 0.830 0.359 0.450 1
O5 O 0.138 0.138 0.050 1
O6 O 0.046 0.046 0.858 1
O7 O 0.543 0.055 0.854 1
O8 O 0.452 0.949 0.144 1
O9 O 0.953 0.450 0.644 1
O10 O 0.452 0.452 0.144 1
O11 O 0.044 0.044 0.354 1
O12 O 0.172 0.639 0.550 1
O13 O 0.547 0.547 0.358 1
O14 O 0.647 0.647 0.055 1
O15 O 0.949 0.452 0.144 1
O16 O 0.329 0.858 0.950 1
O17 O 0.556 0.044 0.354 1
O18 O 0.450 0.953 0.644 1
O19 O 0.543 0.543 0.854 1
O20 O 0.359 0.359 0.450 1
O21 O 0.639 0.172 0.550 1
O22 O 0.350 0.350 0.945 1
O23 O 0.858 0.858 0.950 1
O24 O 0.055 0.543 0.854 1
O25 O 0.639 0.639 0.550 1
O26 O 0.138 0.671 0.050 1
O27 O 0.044 0.556 0.354 1
O28 O 0.953 0.953 0.644 1
O29 O 0.851 0.851 0.445 1
O30 O 0.249 0.249 0.250 1
O31 O 0.858 0.329 0.950 1
O32 O 0.359 0.830 0.450 1
O33 O 0.452 0.452 0.644 1
O34 O 0.671 0.138 0.050 1
Al1 Al 0.699 0.201 0.894 1
Al2 Al 0.998 0.998 0.000 1
Al3 Al 0.201 0.699 0.894 1
Al4 Al 0.274 0.274 0.175 1
Al5 Al 0.673 0.673 0.975 1
Al6 Al 0.795 0.795 0.107 1
Al7 Al 0.775 0.775 0.675 1
Al8 Al 0.296 0.296 0.607 1
Al9 Al 0.824 0.824 0.526 1
Al10 Al 0.201 0.201 0.894 1
Al11 Al 0.795 0.299 0.107 1
Al12 Al 0.201 0.702 0.394 1
Al13 Al 0.800 0.296 0.607 1
Al14 Al 0.175 0.175 0.475 1
Al15 Al 0.724 0.724 0.824 1
Al16 Al 0.323 0.323 0.026 1
Al17 Al 0.500 0.500 0.500 1
Al18 Al 0.296 0.800 0.607 1
Al19 Al 0.225 0.225 0.324 1
Al20 Al 0.702 0.702 0.394 1
Al21 Al 0.702 0.201 0.394 1
Al22 Al 0.299 0.795 0.107 1
Na1 Na 0.912 0.912 0.262 1
Na2 Na 0.404 0.404 0.762 1

=====

20.
# NaAlO2 (PBEsol, optimized geometry)
# Uncorrected energy = -6.56 eV/atom
data_NaAlO2
_space_group_name_H-M_alt 'P 1'
_space_group_IT_number 1
_space_group_name_Hall 'P 1'
_cell_length_a 5.042
_cell_length_b 5.249
_cell_length_c 5.042
_cell_angle_alpha 61.30
_cell_angle_beta 90.00
_cell_angle_gamma 118.70
loop_
_atom_site_label
_atom_site_type_symbol
_atom_site_fract_x
_atom_site_fract_y
_atom_site_fract_z
_atom_site_occupancy
O1 O 0.875 0.250 0.719 1
O2 O 0.375 0.250 0.031 1
O3 O 0.031 0.750 0.875 1
O4 O 0.719 0.750 0.375 1
Al1 Al 0.750 0.500 0.750 1
Al2 Al 0.000 0.000 0.000 1
Na1 Na 0.500 0.000 0.500 1
Na2 Na 0.250 0.500 0.250 1

=====

21.
# NaAlO2 (PBEsol, optimized geometry)
# Uncorrected energy = -6.58 eV/atom
data_NaAlO2
_space_group_name_H-M_alt 'P 1'
_space_group_IT_number 1
_space_group_name_Hall 'P 1'
_cell_length_a 5.229
_cell_length_b 5.413
_cell_length_c 7.016
_cell_angle_alpha 90.00
_cell_angle_beta 90.00
_cell_angle_gamma 90.00
loop_
_atom_site_label
_atom_site_type_symbol
_atom_site_fract_x
_atom_site_fract_y
_atom_site_fract_z
_atom_site_occupancy
O1 O 0.428 0.623 0.827 1
O2 O 0.928 0.877 0.327 1
O3 O 0.928 0.377 0.173 1
O4 O 0.428 0.123 0.673 1
O5 O 0.831 0.466 0.579 1
O6 O 0.331 0.534 0.421 1
O7 O 0.331 0.034 0.079 1
O8 O 0.831 0.966 0.921 1
Na1 Na 0.485 0.931 0.377 1
Na2 Na 0.485 0.431 0.123 1
Na3 Na 0.985 0.569 0.877 1
Na4 Na 0.985 0.069 0.623 1
Al1 Al 0.000 0.062 0.126 1
Al2 Al 0.500 0.938 0.874 1
Al3 Al 0.500 0.438 0.626 1
Al4 Al 0.000 0.562 0.374 1

=====

22.
# NaAlO2 (PBEsol, optimized geometry)
# Uncorrected energy = -6.57 eV/atom
data_NaAlO2
_space_group_name_H-M_alt 'P 1'
_space_group_IT_number 1
_space_group_name_Hall 'P 1'
_cell_length_a 2.874
_cell_length_b 2.874
_cell_length_c 5.558
_cell_angle_alpha 75.02
_cell_angle_beta 75.02
_cell_angle_gamma 60.00
loop_
_atom_site_label
_atom_site_type_symbol
_atom_site_fract_x
_atom_site_fract_y
_atom_site_fract_z
_atom_site_occupancy
O1 O 0.770 0.770 0.689 1
O2 O 0.230 0.230 0.311 1
Al1 Al 0.500 0.500 0.500 1
Na1 Na 0.000 0.000 0.000 1